one:
Here is a relaxed NaLiFeOs crystal from OQMD. Energies are from PBE.

CIF file:
```
data_NaLiFeOs
_chemical_formula_sum 'Na4 Li4 Fe4 Os4'
_symmetry_space_group_name_H-M 'F -4 3 m'
_symmetry_Int_Tables_number 216
_symmetry_space_group_name_Hall 'F -4 2 3'
_cell_length_a 5.961
_cell_length_b 5.961
_cell_length_c 5.961
_cell_angle_alpha 90.00
_cell_angle_beta 90.00
_cell_angle_gamma 90.00
loop_
_atom_site_label
_atom_site_fract_x
_atom_site_fract_y
_atom_site_fract_z
Na1 0.000 0.000 0.000
Li1 0.250 0.250 0.250
Fe1 0.000 0.000 0.500
Os1 0.250 0.250 0.750
```

total magnetic moment	0.12	μB/cell

two:
Here is a relaxed NaLiFeOs crystal from OQMD. Energies are from PBE.

CIF file:
```
data_NaLiFeOs
_chemical_formula_sum 'Na4 Li4 Fe4 Os4'
_symmetry_space_group_name_H-M 'F -4 3 m'
_symmetry_Int_Tables_number 216
_symmetry_space_group_name_Hall 'F -4 2 3'
_cell_length_a 6.189
_cell_length_b 6.189
_cell_length_c 6.189
_cell_angle_alpha 90.00
_cell_angle_beta 90.00
_cell_angle_gamma 90.00
loop_
_atom_site_label
_atom_site_fract_x
_atom_site_fract_y
_atom_site_fract_z
Na1 0.000 0.000 0.000
Li1 0.000 0.000 0.500
Fe1 0.250 0.250 0.250
Os1 0.250 0.250 0.750
```

total magnetic moment	17.47	μB/cell

three:
Here is a relaxed NaLiFeOs crystal from OQMD. Energies are from PBE.

CIF file:
```
data_NaLiFeOs
_chemical_formula_sum 'Na4 Li4 Fe4 Os4'
_symmetry_space_group_name_H-M 'F -4 3 m'
_symmetry_Int_Tables_number 216
_symmetry_space_group_name_Hall 'F -4 2 3'
_cell_length_a 5.951
_cell_length_b 5.951
_cell_length_c 5.951
_cell_angle_alpha 90.00
_cell_angle_beta 90.00
_cell_angle_gamma 90.00
loop_
_atom_site_label
_atom_site_fract_x
_atom_site_fract_y
_atom_site_fract_z
Na1 0.000 0.000 0.000
Li1 0.250 0.250 0.250
Fe1 0.250 0.250 0.750
Os1 0.000 0.000 0.500
```

total magnetic moment	0.02	μB/cell

Which of them is most stable? Easy: three.

one:
Here is a relaxed LiNbFePb crystal from OQMD. Energies are from PBE.

CIF file:
```
data_LiNbFePb
_chemical_formula_sum 'Li4 Nb4 Fe4 Pb4'
_symmetry_space_group_name_H-M 'F -4 3 m'
_symmetry_Int_Tables_number 216
_symmetry_space_group_name_Hall 'F -4 2 3'
_cell_length_a 6.244
_cell_length_b 6.244
_cell_length_c 6.244
_cell_angle_alpha 90.00
_cell_angle_beta 90.00
_cell_angle_gamma 90.00
loop_
_atom_site_label
_atom_site_fract_x
_atom_site_fract_y
_atom_site_fract_z
Li1 0.000 0.000 0.000
Nb1 0.250 0.250 0.750
Fe1 0.000 0.000 0.500
Pb1 0.250 0.250 0.250
```

total magnetic moment	0.02	μB/cell

two:
Here is a relaxed LiNbFePb crystal from OQMD. Energies are from PBE.

CIF file:
```
data_LiNbFePb
_chemical_formula_sum 'Li4 Nb4 Fe4 Pb4'
_symmetry_space_group_name_H-M 'F -4 3 m'
_symmetry_Int_Tables_number 216
_symmetry_space_group_name_Hall 'F -4 2 3'
_cell_length_a 6.514
_cell_length_b 6.514
_cell_length_c 6.514
_cell_angle_alpha 90.00
_cell_angle_beta 90.00
_cell_angle_gamma 90.00
loop_
_atom_site_label
_atom_site_fract_x
_atom_site_fract_y
_atom_site_fract_z
Li1 0.000 0.000 0.000
Nb1 0.000 0.000 0.500
Fe1 0.250 0.250 0.250
Pb1 0.250 0.250 0.750
```

total magnetic moment	5.74	μB/cell

Which of them is most stable? Easy: one.

one:
Here is a relaxed LiNbFeSb crystal from OQMD. Energies are from PBE.

CIF file:
```
data_LiNbFeSb
_chemical_formula_sum 'Li4 Nb4 Fe4 Sb4'
_symmetry_space_group_name_H-M 'F -4 3 m'
_symmetry_Int_Tables_number 216
_symmetry_space_group_name_Hall 'F -4 2 3'
_cell_length_a 6.167
_cell_length_b 6.167
_cell_length_c 6.167
_cell_angle_alpha 90.00
_cell_angle_beta 90.00
_cell_angle_gamma 90.00
loop_
_atom_site_label
_atom_site_fract_x
_atom_site_fract_y
_atom_site_fract_z
Li1 0.000 0.000 0.000
Nb1 0.250 0.250 0.750
Fe1 0.000 0.000 0.500
Sb1 0.250 0.250 0.250
```

total magnetic moment	3.66	μB/cell

two:
Here is a relaxed LiNbFeSb crystal from OQMD. Energies are from PBE.

CIF file:
```
data_LiNbFeSb
_chemical_formula_sum 'Li4 Nb4 Fe4 Sb4'
_symmetry_space_group_name_H-M 'F -4 3 m'
_symmetry_Int_Tables_number 216
_symmetry_space_group_name_Hall 'F -4 2 3'
_cell_length_a 6.359
_cell_length_b 6.359
_cell_length_c 6.359
_cell_angle_alpha 90.00
_cell_angle_beta 90.00
_cell_angle_gamma 90.00
loop_
_atom_site_label
_atom_site_fract_x
_atom_site_fract_y
_atom_site_fract_z
Li1 0.000 0.000 0.000
Nb1 0.250 0.250 0.250
Fe1 0.250 0.250 0.750
Sb1 0.000 0.000 0.500
```

total magnetic moment	10.90	μB/cell

Which of them is most stable? Easy: one.

one:
Here is a relaxed LiNbZnFe crystal from OQMD. Energies are from PBE.

CIF file:
```
data_LiNbZnFe
_chemical_formula_sum 'Li4 Nb4 Zn4 Fe4'
_symmetry_space_group_name_H-M 'F -4 3 m'
_symmetry_Int_Tables_number 216
_symmetry_space_group_name_Hall 'F -4 2 3'
_cell_length_a 5.991
_cell_length_b 5.991
_cell_length_c 5.991
_cell_angle_alpha 90.00
_cell_angle_beta 90.00
_cell_angle_gamma 90.00
loop_
_atom_site_label
_atom_site_fract_x
_atom_site_fract_y
_atom_site_fract_z
Li1 0.000 0.000 0.000
Nb1 0.250 0.250 0.750
Zn1 0.250 0.250 0.250
Fe1 0.000 0.000 0.500
```

total magnetic moment	6.15	μB/cell

two:
Here is a relaxed LiNbZnFe crystal from OQMD. Energies are from PBE.

CIF file:
```
data_LiNbZnFe
_chemical_formula_sum 'Li4 Nb4 Zn4 Fe4'
_symmetry_space_group_name_H-M 'F -4 3 m'
_symmetry_Int_Tables_number 216
_symmetry_space_group_name_Hall 'F -4 2 3'
_cell_length_a 6.075
_cell_length_b 6.075
_cell_length_c 6.075
_cell_angle_alpha 90.00
_cell_angle_beta 90.00
_cell_angle_gamma 90.00
loop_
_atom_site_label
_atom_site_fract_x
_atom_site_fract_y
_atom_site_fract_z
Li1 0.000 0.000 0.000
Nb1 0.250 0.250 0.250
Zn1 0.000 0.000 0.500
Fe1 0.250 0.250 0.750
```

total magnetic moment	8.14	μB/cell

Which of them is most stable? Easy: one.

one:
Here is a relaxed LiZnFeOs crystal from OQMD. Energies are from PBE.

CIF file:
```
data_LiZnFeOs
_chemical_formula_sum 'Li4 Zn4 Fe4 Os4'
_symmetry_space_group_name_H-M 'F -4 3 m'
_symmetry_Int_Tables_number 216
_symmetry_space_group_name_Hall 'F -4 2 3'
_cell_length_a 5.901
_cell_length_b 5.901
_cell_length_c 5.901
_cell_angle_alpha 90.00
_cell_angle_beta 90.00
_cell_angle_gamma 90.00
loop_
_atom_site_label
_atom_site_fract_x
_atom_site_fract_y
_atom_site_fract_z
Li1 0.000 0.000 0.000
Zn1 0.000 0.000 0.500
Fe1 0.250 0.250 0.750
Os1 0.250 0.250 0.250
```

total magnetic moment	14.83	μB/cell

two:
Here is a relaxed LiZnFeOs crystal from OQMD. Energies are from PBE.

CIF file:
```
data_LiZnFeOs
_chemical_formula_sum 'Li4 Zn4 Fe4 Os4'
_symmetry_space_group_name_H-M 'F -4 3 m'
_symmetry_Int_Tables_number 216
_symmetry_space_group_name_Hall 'F -4 2 3'
_cell_length_a 5.759
_cell_length_b 5.759
_cell_length_c 5.759
_cell_angle_alpha 90.00
_cell_angle_beta 90.00
_cell_angle_gamma 90.00
loop_
_atom_site_label
_atom_site_fract_x
_atom_site_fract_y
_atom_site_fract_z
Li1 0.000 0.000 0.000
Zn1 0.250 0.250 0.250
Fe1 0.000 0.000 0.500
Os1 0.250 0.250 0.750
```

total magnetic moment	0.71	μB/cell

Which of them is most stable? Easy: two.

one:
Here is a relaxed LiScFePb crystal from OQMD. Energies are from PBE.

CIF file:
```
data_LiScFePb
_chemical_formula_sum 'Li4 Sc4 Fe4 Pb4'
_symmetry_space_group_name_H-M 'F -4 3 m'
_symmetry_Int_Tables_number 216
_symmetry_space_group_name_Hall 'F -4 2 3'
_cell_length_a 6.425
_cell_length_b 6.425
_cell_length_c 6.425
_cell_angle_alpha 90.00
_cell_angle_beta 90.00
_cell_angle_gamma 90.00
loop_
_atom_site_label
_atom_site_fract_x
_atom_site_fract_y
_atom_site_fract_z
Li1 0.000 0.000 0.000
Sc1 0.250 0.250 0.750
Fe1 0.000 0.000 0.500
Pb1 0.250 0.250 0.250
```

total magnetic moment	6.70	μB/cell

two:
Here is a relaxed LiScFePb crystal from OQMD. Energies are from PBE.

CIF file:
```
data_LiScFePb
_chemical_formula_sum 'Li4 Sc4 Fe4 Pb4'
_symmetry_space_group_name_H-M 'F -4 3 m'
_symmetry_Int_Tables_number 216
_symmetry_space_group_name_Hall 'F -4 2 3'
_cell_length_a 6.695
_cell_length_b 6.695
_cell_length_c 6.695
_cell_angle_alpha 90.00
_cell_angle_beta 90.00
_cell_angle_gamma 90.00
loop_
_atom_site_label
_atom_site_fract_x
_atom_site_fract_y
_atom_site_fract_z
Li1 0.000 0.000 0.000
Sc1 0.000 0.000 0.500
Fe1 0.250 0.250 0.750
Pb1 0.250 0.250 0.250
```

total magnetic moment	9.22	μB/cell

Which of them is most stable? Easy: one.